No. 1
A plane-wave DFT calculation with PBE was carried out for an optimized crystal structure of CSe.

Values from the calculation:
Formation energy from raw total energies (eV per atom): 0.956
Total DFT energy (no corrections) (eV for the cell shown): -21.6

Lattice parameters (Å, degrees): 3.1903 4.5873 6.8040 96.67 89.97 109.65
With the nearest neighbours (Å) after each atom.
Sites, in units of the cell vectors:
C 0.8355 0.1683 0.4253  1 C 1.30
C 0.7924 0.0787 0.2350  1 C 1.30
Se 0.8980 0.2988 0.6745  1 C 1.72
Se 0.2596 0.0105 0.0625  2 C 1.98



No. 2
A plane-wave DFT calculation with PBE was carried out for an optimized crystal structure of CSe3.

Values from the calculation:
Formation energy from raw total energies (eV per atom): 0.602
Total DFT energy (no corrections) (eV for the cell shown): -34.5

Lattice parameters (Å, degrees): 4.3522 7.2440 8.9005 72.26 79.59 74.06
With the nearest neighbours (Å) after each atom.
Sites, in units of the cell vectors:
C 0.1590 0.4587 0.8455  3 Se 1.81-1.97
C 0.9385 0.4563 0.1881  2 Se 1.78-1.80
Se 0.7531 0.8735 0.5905  2 Se 2.34-2.45
Se 0.1855 0.5692 0.6243  1 C 1.88
Se 0.3682 0.2036 0.9255  1 C 1.81
Se 0.9060 0.6169 0.9901  2 C 1.80-1.97
Se 0.9888 0.1392 0.5556  1 Se 2.34
Se 0.1532 0.2018 0.2437  1 C 1.78